# 1
Density functional theory data (PBE with a Hubbard U) for a geometry-optimized NaMgCoO2 structure.

Results
The calculation puts the total energy at -18.56 eV/f.u. Its space group is P4/mmm (123). Its spin magnetization is 0.50 μB per atom.

a = 3.994 Å, b = 3.994 Å, c = 4.425 Å
α = 90.00°, β = 90.00°, γ = 90.00°
Atoms (fractional coordinates):
Na (0.000, 0.000, 0.000)
Mg (0.500, 0.500, 0.000)
Co (0.000, 0.000, 0.500)
O (0.000, 0.500, 0.500)
O (0.500, 0.000, 0.500)


# 2
Density functional theory data (PBE with a Hubbard U) for a geometry-optimized NaMg6CoO8 structure.

Results
The calculation puts the total energy at -91.53 eV/f.u. Its space group is P4/mmm (123). The value obtained for the excess energy over the best structure of this formula in the dataset is 17 meV/atom. Its spin magnetization is 0.12 μB per atom.

a = 4.259 Å, b = 4.259 Å, c = 8.590 Å
α = 90.00°, β = 90.00°, γ = 90.00°
Atoms (fractional coordinates):
Na (0.000, 0.000, 0.000)
Mg (0.000, 0.000, 0.500)
Mg (0.000, 0.500, 0.247)
Mg (0.000, 0.500, 0.753)
Mg (0.500, 0.000, 0.247)
Mg (0.500, 0.000, 0.753)
Mg (0.500, 0.500, 0.500)
Co (0.500, 0.500, 0.000)
O (0.000, 0.000, 0.264)
O (0.000, 0.000, 0.736)
O (0.000, 0.500, 0.000)
O (0.000, 0.500, 0.500)
O (0.500, 0.000, 0.000)
O (0.500, 0.000, 0.500)
O (0.500, 0.500, 0.236)
O (0.500, 0.500, 0.764)


# 3
Density functional theory data (PBE with a Hubbard U) for a geometry-optimized NaMg6CoO8 structure.

Results
The calculation puts the total energy at -91.80 eV/f.u. Its space group is P4/mmm (123). The value obtained for the excess energy over the best structure of this formula in the dataset is 0 meV/atom. Its spin magnetization is 0.25 μB per atom.

a = 4.337 Å, b = 4.337 Å, c = 8.427 Å
α = 90.00°, β = 90.00°, γ = 90.00°
Atoms (fractional coordinates):
Na (0.000, 0.000, 0.000)
Mg (0.000, 0.500, 0.243)
Mg (0.000, 0.500, 0.757)
Mg (0.500, 0.000, 0.243)
Mg (0.500, 0.000, 0.757)
Mg (0.500, 0.500, 0.000)
Mg (0.500, 0.500, 0.500)
Co (0.000, 0.000, 0.500)
O (0.000, 0.000, 0.277)
O (0.000, 0.000, 0.723)
O (0.000, 0.500, 0.000)
O (0.000, 0.500, 0.500)
O (0.500, 0.000, 0.000)
O (0.500, 0.000, 0.500)
O (0.500, 0.500, 0.253)
O (0.500, 0.500, 0.747)


# 4
Density functional theory data (PBE with a Hubbard U) for a geometry-optimized Na2MgCoO4 structure.

Results
The calculation puts the total energy at -39.46 eV/f.u. Its space group is Fddd (70). Its spin magnetization is 0.38 μB per atom.

a = 10.922 Å, b = 9.549 Å, c = 6.523 Å
α = 83.35°, β = 60.27°, γ = 36.38°
Atoms (fractional coordinates):
Na (0.076, 0.076, 0.674)
Na (0.326, 0.326, 0.924)
Na (0.674, 0.674, 0.076)
Na (0.924, 0.924, 0.326)
Mg (0.125, 0.125, 0.125)
Mg (0.875, 0.875, 0.875)
Co (0.375, 0.375, 0.375)
Co (0.625, 0.625, 0.625)
O (0.016, 0.679, 0.531)
O (0.274, 0.531, 0.679)
O (0.321, 0.984, 0.726)
O (0.469, 0.726, 0.984)
O (0.531, 0.274, 0.016)
O (0.679, 0.016, 0.274)
O (0.726, 0.469, 0.321)
O (0.984, 0.321, 0.469)


# 5
Density functional theory data (PBE with a Hubbard U) for a geometry-optimized Na3Mg2CoO6 structure.

Results
The calculation puts the total energy at -61.93 eV/f.u. Its space group is C2/m (12). Its spin magnetization is 0.17 μB per atom.

a = 5.250 Å, b = 5.250 Å, c = 5.647 Å
α = 98.80°, β = 98.80°, γ = 120.50°
Atoms (fractional coordinates):
Na (0.000, 0.000, 0.000)
Na (0.333, 0.667, 0.000)
Na (0.667, 0.333, 0.000)
Mg (0.169, 0.831, 0.500)
Mg (0.831, 0.169, 0.500)
Co (0.500, 0.500, 0.500)
O (0.123, 0.433, 0.299)
O (0.265, 0.265, 0.691)
O (0.433, 0.123, 0.299)
O (0.567, 0.877, 0.701)
O (0.735, 0.735, 0.309)
O (0.877, 0.567, 0.701)